DFT (GGA-PBE) results for a relaxed structure of AcGdAgGe.

abc: 7.5851 7.5851 7.5851
angles: 90.00 90.00 90.00
Closest atoms and distances in Å follow each position.
Space group F-43m (No. 216)
Inequivalent atoms, fractional coordinates:
Ac  0.0000  0.0000  0.0000  4 Ge 3.28, 4 Ag 3.28
Gd  0.0000  0.0000  0.5000  4 Ag 3.28, 4 Ge 3.28
Ag  0.2500  0.2500  0.2500  4 Ac 3.28, 4 Gd 3.28
Ge  0.2500  0.2500  0.7500  4 Gd 3.28, 4 Ac 3.28

Computed properties:
formation enthalpy at 0 K	-459	meV/atom
mass density	8.60	Mg/m³
N(E_F)	16.769	states/eV per cell
size of the total moment	7.81	μB/f.u.